Below is crystalline MgOs2Ru at its relaxed geometry, with properties calculated at the GGA-PBE level.

## Properties
As for the space group: P4mm, No. 99. For the formation energy, the calculation gives 0.176 eV per atom. The total magnetic moment is 0.0 μB/f.u. For the density of states at the Fermi level, the calculation gives 5.02 states/eV/cell.

Cell lengths 2.7977, 2.7977, 7.6544 Å; angles 90.00, 90.00, 90.00 degrees
Closest atoms and distances in Å follow each position.
Sites, in units of the cell vectors:
Os 0.5000 0.5000 0.2493  8 Os 2.66-2.80, 4 Ru 2.68
Os 0.0000 0.0000 0.0166  8 Os 2.66-2.80, 4 Mg 2.85
Mg 0.5000 0.5000 0.7488  4 Mg 2.80, 4 Ru 2.83, 4 Os 2.85
Ru 0.0000 0.0000 0.4853  4 Os 2.68, 4 Ru 2.80, 4 Mg 2.83

Below is crystalline AlS at its relaxed geometry, with properties calculated at the GGA-PBE level.

## Properties
As for the energy relative to the elements, uncorrected: -644 meV/atom. As for the space group: Cm, No. 8. The total magnetic moment is 0.0 μB/f.u. For the density of states at the Fermi level, the calculation gives 0.21 states/eV/cell.

Cell lengths 7.7282, 3.4104, 5.9033 Å; angles 90.00, 104.73, 90.00 degrees
Closest atoms and distances in Å follow each position.
Sites, in units of the cell vectors:
S 0.3452 0.0000 0.7232  4 Al 2.38-2.40
S 0.3452 0.5000 0.2232  4 Al 2.38-2.40
S 0.9882 0.5000 0.4374  4 Al 2.38-2.40
S 0.9882 0.0000 0.9374  4 Al 2.38-2.40
Al 0.6667 0.0000 0.8329  2 S 2.40
Al 0.6667 0.5000 0.3329  2 S 2.40
Al 0.1667 0.0000 0.3302  6 S 2.38
Al 0.1667 0.5000 0.8302  6 S 2.38